Version w
CoNiHW2 | PBE | optimized geometry

Crystal system = tetragonal
Space group = P4/mmm
M_tot = 0.233 μB per atom

abc: 3.9112 3.9112 3.6673
angles: 90.00 90.00 90.00
Last column: nearest neighbours and their distance in Å.
Atoms (fractional coordinates):
Co1 0.5000 0.5000 0.5000  8 W 2.68, 4 Ni 2.77
Ni1 0.0000 0.0000 0.5000  2 H 1.83
W1 0.0000 0.5000 0.0000  2 H 1.96
W2 0.5000 0.0000 0.0000  2 H 1.96
H1 0.0000 0.0000 0.0000  2 Ni 1.83, 4 W 1.96

***

Version x
CoNiHW2 | PBE | optimized geometry

Crystal system = tetragonal
Space group = P4/mmm
M_tot = 0.045 μB per atom

abc: 3.9230 3.9230 3.6203
angles: 90.00 90.00 90.00
Last column: nearest neighbours and their distance in Å.
Atoms (fractional coordinates):
Co1 0.0000 0.0000 0.5000  2 H 1.81
W1 0.5000 0.0000 0.0000  2 H 1.96
W2 0.0000 0.5000 0.0000  2 H 1.96
Ni1 0.5000 0.5000 0.5000  8 W 2.67, 4 Co 2.77
H1 0.0000 0.0000 0.0000  2 Co 1.81, 4 W 1.96

***

Quick ranking, most stable first: version x, version w.

***

Version w
CoNi2HW | PBE | optimized geometry

Crystal system = tetragonal
Space group = P4/mmm
M_tot = 0.299 μB per atom

abc: 3.6348 3.6348 3.7772
angles: 90.00 90.00 90.00
Last column: nearest neighbours and their distance in Å.
Atoms (fractional coordinates):
Co1 0.0000 0.0000 0.5000  2 H 1.89
Ni1 0.0000 0.5000 0.0000  2 H 1.82
Ni2 0.5000 0.0000 0.0000  2 H 1.82
H1 0.0000 0.0000 0.0000  4 Ni 1.82, 2 Co 1.89
W1 0.5000 0.5000 0.5000  4 Co 2.57, 8 Ni 2.62

***

Version x
CoNi2HW | PBE | optimized geometry

Crystal system = tetragonal
Space group = P4/mmm
M_tot = 0.000 μB per atom

abc: 3.5636 3.5636 3.9686
angles: 90.00 90.00 90.00
Last column: nearest neighbours and their distance in Å.
Atoms (fractional coordinates):
Ni1 0.0000 0.5000 0.0000  2 H 1.78
Ni2 0.5000 0.0000 0.0000  2 H 1.78
Co1 0.5000 0.5000 0.5000  4 W 2.52, 8 Ni 2.67
W1 0.0000 0.0000 0.5000  2 H 1.98
H1 0.0000 0.0000 0.0000  4 Ni 1.78, 2 W 1.98

***

Quick ranking, most stable first: version x, version w.

***

Version w
Zr2CoNiH | PBE | optimized geometry

Crystal system = tetragonal
Space group = P4/mmm
M_tot = 0.000 μB per atom

abc: 4.5057 3.3513 4.5057
angles: 90.00 90.00 90.00
Last column: nearest neighbours and their distance in Å.
Atoms (fractional coordinates):
Ni1 0.5000 0.5000 0.5000  8 Zr 2.81
Zr1 0.0000 0.0000 0.5000  2 H 2.25
Zr2 0.5000 0.0000 0.0000  2 H 2.25
Co1 0.0000 0.5000 0.0000  2 H 1.68
H1 0.0000 0.0000 0.0000  2 Co 1.68

***

Version x
Zr2CoNiH | PBE | optimized geometry

Crystal system = tetragonal
Space group = P4/mmm
M_tot = 0.000 μB per atom

abc: 4.5085 4.5085 3.3399
angles: 90.00 90.00 90.00
Last column: nearest neighbours and their distance in Å.
Atoms (fractional coordinates):
Zr1 0.0000 0.5000 0.0000  2 H 2.25
Zr2 0.5000 0.0000 0.0000  2 H 2.25
Co1 0.5000 0.5000 0.5000  8 Zr 2.81
H1 0.0000 0.0000 0.0000  2 Ni 1.67
Ni1 0.0000 0.0000 0.5000  2 H 1.67

***

Quick ranking, most stable first: version w, version x.

***

Version w
ZrCoNi2H | PBE | optimized geometry

Crystal system = tetragonal
Space group = P4/mmm
M_tot = 0.000 μB per atom

abc: 3.6343 3.6343 4.1725
angles: 90.00 90.00 90.00
Last column: nearest neighbours and their distance in Å.
Atoms (fractional coordinates):
Ni1 0.5000 0.0000 0.0000  2 H 1.82
Ni2 0.0000 0.5000 0.0000  2 H 1.82
Zr1 0.0000 0.0000 0.5000  2 H 2.09
Co1 0.5000 0.5000 0.5000  4 Zr 2.57, 8 Ni 2.77
H1 0.0000 0.0000 0.0000  4 Ni 1.82

***

Version x
ZrCoNi2H | PBE | optimized geometry

Crystal system = tetragonal
Space group = P4/mmm
M_tot = 0.000 μB per atom

abc: 3.7308 3.7308 3.8866
angles: 90.00 90.00 90.00
Last column: nearest neighbours and their distance in Å.
Atoms (fractional coordinates):
Ni1 0.5000 0.0000 0.0000  2 H 1.87
Ni2 0.0000 0.5000 0.0000  2 H 1.87
H1 0.0000 0.0000 0.0000  4 Ni 1.87, 2 Co 1.94
Co1 0.0000 0.0000 0.5000  2 H 1.94
Zr1 0.5000 0.5000 0.5000  4 Co 2.64, 8 Ni 2.69

***

Quick ranking, most stable first: version x, version w.